TaV3Ru: optimized geometry, PBE.

The structure in CIF format:
```
data_TaV3Ru
_chemical_formula_sum 'Ta2 V6 Ru2'
_space_group_name_H-M_alt 'P -1'
_space_group_IT_number 2
_cell_length_a 4.938
_cell_length_b 5.219
_cell_length_c 6.264
_cell_angle_alpha 76.47
_cell_angle_beta 70.82
_cell_angle_gamma 88.66
loop_
_space_group_symop_operation_xyz
'x,y,z'
'-x,-y,-z'
loop_
_atom_site_label
_atom_site_fract_x
_atom_site_fract_y
_atom_site_fract_z
Ta1 0.069 0.291 0.347
V1 0.126 0.173 0.826
V2 0.311 0.626 0.897
V3 0.356 0.843 0.195
Ru1 0.500 0.000 0.500
Ru2 0.500 0.500 0.500
```

## Properties
Energy relative to the elements, meV/atom: -89
M_tot, μB per formula unit: 0.0
DOS at the Fermi energy, states/eV/cell: 10.80

***

Ta2VRu: optimized geometry, PBE.

The structure in CIF format:
```
data_Ta2VRu
_chemical_formula_sum 'Ta8 V4 Ru4'
_space_group_name_H-M_alt 'F m -3 m'
_space_group_IT_number 225
_space_group_name_Hall '-F 4 2 3'
_cell_length_a 6.321
_cell_length_b 6.321
_cell_length_c 6.321
_cell_angle_alpha 90.00
_cell_angle_beta 90.00
_cell_angle_gamma 90.00
loop_
_atom_site_label
_atom_site_fract_x
_atom_site_fract_y
_atom_site_fract_z
Ta1 0.250 0.250 0.250
V1 0.000 0.000 0.000
Ru1 0.000 0.000 0.500
```

## Properties
Energy relative to the elements, meV/atom: -275
M_tot, μB per formula unit: 0.0
DOS at the Fermi energy, states/eV/cell: 15.19

***

Ta2V2ZnRu5: optimized geometry, PBE.

The structure in CIF format:
```
data_Ta2V2ZnRu5
_chemical_formula_sum 'Ta4 V4 Zn2 Ru10'
_space_group_name_H-M_alt 'P 4/m b m'
_space_group_IT_number 127
_space_group_name_Hall '-P 4 2ab'
_cell_length_a 9.554
_cell_length_b 9.554
_cell_length_c 3.325
_cell_angle_alpha 90.00
_cell_angle_beta 90.00
_cell_angle_gamma 90.00
loop_
_atom_site_label
_atom_site_fract_x
_atom_site_fract_y
_atom_site_fract_z
Ta1 0.173 0.327 0.000
V1 0.129 0.629 0.000
Zn1 0.000 0.000 0.000
Ru1 0.000 0.500 0.500
Ru2 0.063 0.797 0.500
```

## Properties
Energy relative to the elements, meV/atom: -25
M_tot, μB per formula unit: 0.0
DOS at the Fermi energy, states/eV/cell: 11.38

***

ZrTaVRu: optimized geometry, PBE.

The structure in CIF format:
```
data_ZrTaVRu
_chemical_formula_sum 'Zr4 Ta4 V4 Ru4'
_space_group_name_H-M_alt 'F -4 3 m'
_space_group_IT_number 216
_space_group_name_Hall 'F -4 2 3'
_cell_length_a 6.452
_cell_length_b 6.452
_cell_length_c 6.452
_cell_angle_alpha 90.00
_cell_angle_beta 90.00
_cell_angle_gamma 90.00
loop_
_atom_site_label
_atom_site_fract_x
_atom_site_fract_y
_atom_site_fract_z
Zr1 0.000 0.000 0.000
Ta1 0.000 0.000 0.500
V1 0.250 0.250 0.750
Ru1 0.250 0.250 0.250
```

## Properties
Energy relative to the elements, meV/atom: -207
M_tot, μB per formula unit: 1.2
DOS at the Fermi energy, states/eV/cell: 17.99